Compound: PaCl3
Source: the Alexandria database
Functional: PBE
Structure: optimized geometry

a = 7.1582 Å, b = 7.1582 Å, c = 6.8803 Å
α = 90.00°, β = 90.00°, γ = 120.00°
Fractional coordinates of all 8 atoms:
Pa  0.0000  0.0000  0.0000
Pa  0.0000  0.0000  0.5000
Cl  0.0000  0.3015  0.2500
Cl  0.0000  0.6985  0.7500
Cl  0.3015  0.0000  0.2500
Cl  0.3015  0.3015  0.7500
Cl  0.6985  0.0000  0.7500
Cl  0.6985  0.6985  0.2500

Values from the calculation:
M_tot   0.4920 μB per atom
Energy relative to the elements, uncorrected   -1691.7 meV per atom
E_tot   -5.45 eV/atom
V   38.17 Å³/atom

---

Compound: CdRu
Source: the Alexandria database
Functional: PBE
Structure: optimized geometry

a = 6.1038 Å, b = 6.1038 Å, c = 6.1038 Å
α = 98.26°, β = 98.26°, γ = 135.46°
Fractional coordinates of all 8 atoms:
Cd  0.0000  0.2878  0.2878
Cd  0.0000  0.7122  0.7122
Cd  0.2878  0.0000  0.2878
Cd  0.7122  0.0000  0.7122
Ru  0.3453  0.3453  0.6905
Ru  0.3453  0.6547  0.0000
Ru  0.6547  0.3453  0.0000
Ru  0.6547  0.6547  0.3095

Values from the calculation:
M_tot   0.0496 μB per atom
E_tot   -4.69 eV/atom
V   18.45 Å³/atom
Formation enthalpy at 0 K   404 meV/atom

---

Compound: LiAlC
Source: the Alexandria database
Functional: PBE
Structure: optimized geometry

a = 3.6434 Å, b = 3.6434 Å, c = 5.1833 Å
α = 90.00°, β = 90.00°, γ = 90.00°
Fractional coordinates of all 6 atoms:
Li  0.2500  0.2500  0.0868
Li  0.7500  0.7500  0.9132
Al  0.2500  0.7500  0.5000
Al  0.7500  0.2500  0.5000
C  0.2500  0.2500  0.6811
C  0.7500  0.7500  0.3189

Values from the calculation:
M_tot   0.0000 μB per atom
E_tot   -4.96 eV/atom
V   11.47 Å³/atom
Formation enthalpy at 0 K   0 meV/atom

---

Compound: TlAuSe2
Source: the Alexandria database
Functional: PBE
Structure: optimized geometry

a = 3.9371 Å, b = 3.9371 Å, c = 6.7761 Å
α = 90.00°, β = 90.00°, γ = 90.00°
Fractional coordinates of all 4 atoms:
Tl  0.0000  0.0000  0.0000
Au  0.5000  0.5000  0.0000
Se  0.0000  0.5000  0.5000
Se  0.5000  0.0000  0.5000

Values from the calculation:
M_tot   0.0000 μB per atom
Energy relative to the elements, uncorrected   187.9 meV per atom
E_tot   -2.97 eV/atom
V   26.26 Å³/atom